Record 1
Entry from Alexandria via LeMat-Bulk: a relaxed PrNd2Dy crystal (GGA-PBE).

Calculated values
Energy   -4.59 eV/atom
Energy of formation   0.55 eV/f.u.
Polymorph energy (0 for the lowest one)   0.122 eV per atom

Lattice parameters (Å, degrees): 5.810 5.810 5.810 60.00 60.00 60.00
Fractional positions:
Nd 0.250 0.250 0.250
Nd 0.750 0.750 0.750
Dy 0.000 0.000 0.000
Pr 0.500 0.500 0.500



Record 2
Entry from Alexandria via LeMat-Bulk: a relaxed Ca2FeCl crystal (GGA-PBE).

Calculated values
Energy   -3.71 eV/atom
Formation energy from raw total energies   -0.129 eV per atom
Polymorph energy (0 for the lowest one)   0.351 eV per atom

Lattice parameters (Å, degrees): 7.114 7.114 7.114 146.68 146.68 47.84
Site moments in Bohr magnetons follow the coordinates.
Fractional positions:
Fe 0.750 0.250 0.500  2.70
Cl 0.500 0.500 0.000  0.01
Ca 0.250 0.750 0.500  -0.10
Ca 0.000 0.000 0.000  -0.04



Record 3
Entry from Alexandria via LeMat-Bulk: a relaxed Li2MnCl2 crystal (GGA-PBE).

Calculated values
Energy   -3.88 eV/atom
Formation energy from raw total energies   -0.537 eV per atom
Polymorph energy (0 for the lowest one)   0.066 eV per atom

Lattice parameters (Å, degrees): 7.717 7.717 3.241 90.00 90.00 90.00
Site moments in Bohr magnetons follow the coordinates.
Fractional positions:
Li 0.136 0.364 0.000  0.00
Li 0.364 0.864 0.000  0.00
Li 0.636 0.136 0.000  0.00
Li 0.864 0.636 0.000  0.00
Cl 0.150 0.650 0.500  0.05
Cl 0.650 0.850 0.500  0.05
Cl 0.850 0.350 0.500  0.05
Cl 0.350 0.150 0.500  0.05
Mn 0.500 0.500 0.000  4.33
Mn 0.000 0.000 0.000  4.33



Record 4
Entry from Alexandria via LeMat-Bulk: a relaxed Ac4Si2S crystal (GGA-PBE).

Calculated values
Energy   -5.35 eV/atom
Formation energy from raw total energies   -0.860 eV per atom
Polymorph energy (0 for the lowest one)   0.000 eV per atom

Lattice parameters (Å, degrees): 8.281 8.281 8.281 110.07 108.28 110.07
Fractional positions:
S 0.750 0.500 0.250
S 0.000 0.000 0.000
Si 0.499 0.374 0.625
Si 0.375 0.874 0.749
Si 0.875 0.126 0.501
Si 0.251 0.626 0.125
Ac 0.123 0.879 0.383
Ac 0.627 0.761 0.007
Ac 0.133 0.379 0.373
Ac 0.993 0.621 0.754
Ac 0.246 0.239 0.867
Ac 0.757 0.261 0.877
Ac 0.504 0.121 0.243
Ac 0.617 0.739 0.496



Record 5
Entry from Alexandria via LeMat-Bulk: a relaxed NdAlZnNi crystal (GGA-PBE).

Calculated values
Energy   -4.30 eV/atom
Energy of formation   -1.65 eV/f.u.
Polymorph energy (0 for the lowest one)   0.000 eV per atom

Lattice parameters (Å, degrees): 4.274 4.274 5.520 67.22 67.22 60.00
Fractional positions:
Zn 0.013 0.013 0.961
Al 0.287 0.287 0.138
Nd 0.809 0.809 0.574
Ni 0.617 0.617 0.149



Record 6
Entry from Alexandria via LeMat-Bulk: a relaxed TmTiFe crystal (GGA-PBE).

Calculated values
Energy   -7.03 eV/atom
Energy of formation   -0.25 eV/f.u.
Polymorph energy (0 for the lowest one)   0.000 eV per atom

Lattice parameters (Å, degrees): 3.964 6.636 12.504 91.85 90.00 90.00
Fractional positions:
Fe 0.250 0.809 0.903
Fe 0.750 0.317 0.757
Fe 0.750 0.791 0.572
Fe 0.750 0.191 0.097
Fe 0.250 0.683 0.243
Fe 0.250 0.209 0.428
Tm 0.250 0.494 0.623
Tm 0.250 0.366 0.918
Tm 0.750 0.506 0.377
Tm 0.250 0.013 0.711
Tm 0.750 0.634 0.082
Tm 0.750 0.987 0.289
Ti 0.750 0.026 0.919
Ti 0.750 0.662 0.803
Ti 0.750 0.142 0.536
Ti 0.250 0.858 0.464
Ti 0.250 0.338 0.197
Ti 0.250 0.974 0.081



Record 7
Entry from Alexandria via LeMat-Bulk: a relaxed Ti5NbRu4 crystal (GGA-PBE).

Calculated values
Energy   -9.28 eV/atom
Energy of formation   -6.11 eV/f.u.

Lattice parameters (Å, degrees): 3.082 3.082 16.007 90.00 90.00 90.00
Fractional positions:
Ti 0.500 0.500 0.307
Ti 0.500 0.500 0.115
Ti 0.500 0.500 0.693
Ti 0.500 0.500 0.885
Ti 0.500 0.500 0.500
Nb 0.000 0.000 0.000
Ru 0.000 0.000 0.210
Ru 0.000 0.000 0.597
Ru 0.000 0.000 0.403
Ru 0.000 0.000 0.790



Record 8
Entry from Alexandria via LeMat-Bulk: a relaxed HfSi2Pt2 crystal (GGA-PBE).

Calculated values
Energy   -7.11 eV/atom
Formation energy from raw total energies   -0.539 eV per atom

Lattice parameters (Å, degrees): 7.273 7.273 2.964 90.00 90.00 90.00
Fractional positions:
Pt 0.149 0.649 0.500
Pt 0.649 0.851 0.500
Pt 0.351 0.149 0.500
Pt 0.851 0.351 0.500
Hf 0.500 0.500 0.000
Hf 0.000 0.000 0.000
Si 0.854 0.646 0.000
Si 0.646 0.146 0.000
Si 0.354 0.854 0.000
Si 0.146 0.354 0.000



> What is the energy in the eighth record?

-7.11 eV/atom